1.
Compound: KYTl2F6
Source: the Alexandria database
Functional: PBE-GGA
Structure: relaxed

a b c (Å): 6.508 6.765 11.340
angles (deg): 90.00 124.47 90.00
Space group P2_1/c (No. 14)
Symmetry-distinct sites (fractional):
1 K 0.000 0.000 0.000
2 Y 0.500 0.000 0.500
3 Tl 0.236 0.040 0.746
4 F 0.178 0.173 0.458
5 F 0.270 0.730 0.439
6 F 0.378 0.045 0.276

2.
Compound: KTl2ZnF
Source: the Alexandria database
Functional: PBE-GGA
Structure: relaxed

a b c (Å): 5.498 5.498 4.784
angles (deg): 90.00 90.00 90.00
Space group P4/mmm (No. 123)
Symmetry-distinct sites (fractional):
1 K 0.000 0.000 0.000
2 Tl 0.000 0.500 0.500
3 Zn 0.500 0.500 0.500
4 F 0.500 0.500 0.000

3.
Compound: K3Tl3ZnF8
Source: the Alexandria database
Functional: PBE-GGA
Structure: relaxed

a b c (Å): 7.5675 7.5675 19.1538
angles (deg): 90.00 90.00 120.00
Space group R-3m (No. 166, hexagonal axes)
Symmetry-distinct sites (fractional):
1 K 0.0000 0.5000 0.0000
2 Tl 0.0000 0.5000 0.5000
3 Zn 0.0000 0.0000 0.0000
4 F 0.0000 0.0000 0.2561
5 F 0.0676 0.5338 0.7298

4.
Compound: KTl4Zn3F12
Source: the Alexandria database
Functional: PBE-GGA
Structure: relaxed

a b c (Å): 8.682 8.682 8.682
angles (deg): 90.00 90.00 90.00
Space group Im-3m (No. 229)
Symmetry-distinct sites (fractional):
1 K 0.000 0.000 0.000
2 Tl 0.250 0.250 0.250
3 Zn 0.000 0.000 0.500
4 F 0.000 0.000 0.280
5 F 0.000 0.250 0.500

The evaluated Fermi-level density of states for the records listed, in turn: 0.0 2.6 0.0 21.7 states/eV/f.u..
The evaluated energy relative to the elements, uncorrected for the records listed, in turn: -2.93 -0.49 -2.26 -2.06 eV per atom.